(1)
HfCo: relaxed, PBE.

The structure in POSCAR format:
```
HfCo
1.0
8.405 0.000 0.000
0.000 8.405 0.000
0.000 0.000 4.202
Hf Co
8 8
direct
0.122 0.229 0.000
0.229 0.878 0.000
0.271 0.622 0.500
0.378 0.271 0.500
0.622 0.729 0.500
0.729 0.378 0.500
0.771 0.122 0.000
0.878 0.771 0.000
0.073 0.381 0.500
0.119 0.573 0.000
0.381 0.927 0.500
0.427 0.119 0.000
0.573 0.881 0.000
0.619 0.073 0.500
0.881 0.427 0.000
0.927 0.619 0.500
```

Energy in eV/cell: -133.98
Symmetry: I4/m (87)
Spin magnetization in μB/cell: 0.000
Crystal system: tetragonal
DOS(E_F) in states/eV/f.u.: 1.47
Energy relative to the elements in eV/atom: 0.16
Calculated volume in Å³/cell: 297

***

(2)
Fe2HgCl: relaxed, PBE.

The structure in POSCAR format:
```
Fe2HgCl
1.0
2.894 0.000 0.000
0.000 5.604 0.000
0.000 0.000 8.678
Fe Hg Cl
4 2 2
direct
0.000 0.000 0.227
0.000 0.000 0.773
0.500 0.500 0.273
0.500 0.500 0.727
0.000 0.500 0.000
0.500 0.000 0.500
0.000 0.500 0.500
0.500 0.000 0.000
```

Energy in eV/cell: -34.33
Relative energy among the computed polymorphs in meV per atom: 341
Symmetry: Immm (71)
Spin magnetization in μB/cell: 11.823
Crystal system: orthorhombic
DOS(E_F) in states/eV/f.u.: 3.47
Calculated volume in Å³/cell: 141
Formation energy without anion corrections in eV per atom: 0.48